# 1
Here is RbY2Cu2 after structural relaxation from Alexandria. Energies are from GGA-PBE.

The structure belongs to space group I4/mmm (No. 139); the cell edges are 5.2222, 5.2222 and 11.8973 Å and the angles 90.00°, 90.00° and 90.00°. The asymmetric unit holds Rb at (0.0000, 0.0000, 0.0000), Y at (0.0000, 0.0000, 0.3369) and Cu at (0.0000, 0.5000, 0.2500).

The value obtained for the total energy is -4.033 eV per atom. Its density of states at the Fermi level is 1.25 states/eV per atom. The calculation puts the spin magnetization at 0.31 μB/atom.


# 2
Here is RbY2Cu2 after structural relaxation from Alexandria. Energies are from GGA-PBE.

The structure belongs to space group P4/mbm (No. 127); the cell edges are 8.6825, 8.6825 and 3.4025 Å and the angles 90.00°, 90.00° and 90.00°. The asymmetric unit holds Rb at (0.0000, 0.0000, 0.0000), Y at (0.1359, 0.3641, 0.0000) and Cu at (0.1479, 0.6479, 0.5000).

The value obtained for the total energy is -4.191 eV per atom. Its density of states at the Fermi level is 0.71 states/eV per atom. The calculation puts the spin magnetization at 0.00 μB/atom.


# 3
Here is RbYCu3 after structural relaxation from Alexandria. Energies are from GGA-PBE.

The structure belongs to space group Pm-3m (No. 221); the cell edges are 5.1700, 5.1700 and 5.1700 Å and the angles 90.00°, 90.00° and 90.00°. The asymmetric unit holds Rb at (0.0000, 0.0000, 0.0000), Y at (0.5000, 0.5000, 0.5000) and Cu at (0.0000, 0.0000, 0.5000).

The value obtained for the total energy is -2.615 eV per atom. Its density of states at the Fermi level is 0.55 states/eV per atom. The calculation puts the spin magnetization at 0.00 μB/atom.


# 4
Here is RbYCu3 after structural relaxation from Alexandria. Energies are from GGA-PBE.

The structure belongs to space group Pm-3m (No. 221); the cell edges are 5.4311, 5.4311 and 5.4311 Å and the angles 90.00°, 90.00° and 90.00°. The asymmetric unit holds Rb at (0.0000, 0.0000, 0.0000), Y at (0.5000, 0.5000, 0.5000) and Cu at (0.0000, 0.5000, 0.5000).

The value obtained for the total energy is -3.250 eV per atom. Its density of states at the Fermi level is 0.57 states/eV per atom. The calculation puts the spin magnetization at 0.00 μB/atom.


# 5
Here is Rb2ZnCu after structural relaxation from Alexandria. Energies are from GGA-PBE.

The structure belongs to space group I-42d (No. 122); the cell edges are 9.5822, 9.5822 and 7.5120 Å and the angles 90.00°, 90.00° and 90.00°. The asymmetric unit holds Rb at (0.2254, 0.2500, 0.1250), Zn at (0.0000, 0.0000, 0.5000) and Cu at (0.0000, 0.0000, 0.0000).

The value obtained for the total energy is -1.360 eV per atom. Its density of states at the Fermi level is 0.63 states/eV per atom. The calculation puts the spin magnetization at 0.00 μB/atom.


# 6
Here is RbZn2Cu2 after structural relaxation from Alexandria. Energies are from GGA-PBE.

The structure belongs to space group I4/mmm (No. 139); the cell edges are 4.5438, 4.5438 and 10.2893 Å and the angles 90.00°, 90.00° and 90.00°. The asymmetric unit holds Rb at (0.0000, 0.0000, 0.0000), Zn at (0.0000, 0.5000, 0.2500) and Cu at (0.0000, 0.0000, 0.3713).

The value obtained for the total energy is -2.113 eV per atom. Its density of states at the Fermi level is 0.37 states/eV per atom. The calculation puts the spin magnetization at 0.00 μB/atom.


# 7
Here is RbZn2Cu2 after structural relaxation from Alexandria. Energies are from GGA-PBE.

The structure belongs to space group P4/mbm (No. 127); the cell edges are 8.1480, 8.1480 and 2.8021 Å and the angles 90.00°, 90.00° and 90.00°. The asymmetric unit holds Rb at (0.0000, 0.0000, 0.0000), Zn at (0.1214, 0.3786, 0.5000) and Cu at (0.1587, 0.6587, 0.0000).

The value obtained for the total energy is -2.083 eV per atom. Its density of states at the Fermi level is 0.22 states/eV per atom. The calculation puts the spin magnetization at 0.00 μB/atom.


# 8
Here is Rb2ZrZnCu after structural relaxation from Alexandria. Energies are from GGA-PBE.

The structure belongs to space group P4/mmm (No. 123); the cell edges are 6.4816, 6.4816 and 5.1611 Å and the angles 90.00°, 90.00° and 90.00°. The asymmetric unit holds Rb at (0.0000, 0.5000, 0.0000), Zr at (0.0000, 0.0000, 0.5000), Zn at (0.5000, 0.5000, 0.5000) and Cu at (0.0000, 0.0000, 0.0000).

The value obtained for the total energy is -2.254 eV per atom. Its density of states at the Fermi level is 1.30 states/eV per atom. The calculation puts the spin magnetization at 0.40 μB/atom.